(1)
## MgAgIO2 (SCAN)

Data for MgAgIO2 at its PBEsol-relaxed geometry.

POSCAR file:
```
MgAgIO2
1.0
-2.884 1.572 -2.201
-2.102 -3.328 0.377
-2.650 2.248 5.077
Ag O I Mg
1 2 1 1
Direct
0.500 0.500 0.500 Ag
0.500 0.000 0.000 O
0.000 0.500 0.000 O
0.000 0.000 0.500 I
0.000 0.000 0.000 Mg
```

Output
For the theoretical density, the calculation gives 5.02 g cm⁻³. As for the volume: 96.2 Å³ per cell. For the raw total energy, the calculation gives -17.73 eV per atom.

(2)
## Mg3Fe2O7 (SCAN)

Data for Mg3Fe2O7 at its PBEsol-relaxed geometry.

POSCAR file:
```
Mg3Fe2O7
1.0
-3.704 -2.468 2.080
1.254 -4.185 -2.733
7.145 -1.340 5.329
O Mg Fe
14 6 4
Direct
0.861 0.559 0.848 O
0.935 0.792 0.594 O
0.689 0.951 0.261 O
0.572 0.451 0.261 O
0.428 0.951 0.739 O
0.311 0.451 0.739 O
0.341 0.792 0.406 O
0.987 0.059 0.848 O
0.659 0.292 0.594 O
0.065 0.292 0.406 O
0.375 0.708 0.000 O
0.625 0.208 0.000 O
0.013 0.559 0.152 O
0.139 0.059 0.152 O
0.562 0.672 0.615 Mg
0.946 0.672 0.385 Mg
0.772 0.824 0.000 Mg
0.054 0.172 0.615 Mg
0.438 0.172 0.385 Mg
0.228 0.324 0.000 Mg
0.647 0.250 0.797 Fe
0.850 0.250 0.203 Fe
0.353 0.750 0.203 Fe
0.150 0.750 0.797 Fe
```

Output
For the theoretical density, the calculation gives 4.49 g cm⁻³. As for the volume: 219.6 Å³ per cell. For the raw total energy, the calculation gives -10.11 eV per atom.

(3)
## BaSr3Al (SCAN)

Data for BaSr3Al at its PBEsol-relaxed geometry.

POSCAR file:
```
BaSr3Al
1.0
-4.773 -0.729 -3.663
0.437 -6.012 0.628
-3.710 0.231 4.787
Al Sr Ba
1 3 1
Direct
0.500 0.500 0.500 Al
0.000 0.000 0.500 Sr
0.000 0.500 0.000 Sr
0.500 0.000 0.000 Sr
0.000 0.000 0.000 Ba
```

Output
For the theoretical density, the calculation gives 3.19 g cm⁻³. As for the volume: 222.7 Å³ per cell. The formation energy comes out at 1047 meV/atom.

(4)
## CrPIr3 (SCAN)

Data for CrPIr3 at its PBEsol-relaxed geometry.

POSCAR file:
```
CrPIr3
1.0
-2.819 3.375 -0.421
-1.211 -1.508 -3.972
-3.178 -2.419 1.888
Ir Cr P
3 1 1
Direct
0.500 0.000 0.000 Ir
0.000 0.500 0.000 Ir
0.000 0.000 0.500 Ir
0.000 0.000 0.000 Cr
0.500 0.500 0.500 P
```

Output
For the theoretical density, the calculation gives 12.71 g cm⁻³. The calculation puts the offset from the most stable computed form at 1205.4 meV/atom. As for the volume: 86.2 Å³ per cell. The formation energy comes out at 1738 meV/atom.

(5)
## LaCd2SiPd (SCAN)

Data for LaCd2SiPd at its PBEsol-relaxed geometry.

POSCAR file:
```
LaCd2SiPd
1.0
-2.962 3.431 -0.837
-3.086 -3.218 -2.272
-2.276 -0.899 4.365
Cd Pd Si La
2 1 1 1
Direct
0.000 0.500 0.000 Cd
0.000 0.000 0.500 Cd
0.500 0.000 0.000 Pd
0.000 0.000 0.000 Si
0.500 0.500 0.500 La
```

Output
For the theoretical density, the calculation gives 7.17 g cm⁻³. As for the volume: 115.5 Å³ per cell. For the raw total energy, the calculation gives -29.50 eV per atom.

(6)
## CoP2H18N6F12 (SCAN)

Data for CoP2H18N6F12 at its PBEsol-relaxed geometry.

POSCAR file:
```
CoP2H18N6F12
1.0
-0.605 -7.928 -2.196
5.417 -2.150 5.801
-6.772 4.326 2.042
H F P Co N
18 12 2 1 6
Direct
0.703 0.808 0.908 H
0.319 0.178 0.086 H
0.163 0.306 0.064 H
0.113 0.261 0.401 H
0.323 0.846 0.170 H
0.885 0.334 0.115 H
0.131 0.113 0.833 H
0.217 0.089 0.405 H
0.141 0.659 0.914 H
0.905 0.721 0.601 H
0.705 0.742 0.600 H
0.866 0.689 0.946 H
0.887 0.884 0.168 H
0.313 0.260 0.402 H
0.816 0.901 0.594 H
0.292 0.817 0.943 H
0.723 0.169 0.839 H
0.708 0.154 0.022 H
0.945 0.151 0.541 F
0.657 0.094 0.513 F
0.883 0.409 0.770 F
0.371 0.913 0.775 F
0.146 0.585 0.229 F
0.151 0.595 0.515 F
0.443 0.661 0.553 F
0.583 0.338 0.451 F
0.871 0.393 0.479 F
0.073 0.837 0.452 F
0.644 0.079 0.222 F
0.366 0.903 0.490 F
0.258 0.749 0.502 P
0.764 0.244 0.495 P
0.011 0.996 0.000 Co
0.180 0.169 0.336 N
0.218 0.806 0.008 N
0.851 0.828 0.007 N
0.806 0.186 0.993 N
0.843 0.822 0.665 N
0.172 0.165 0.994 N
```

Output
For the theoretical density, the calculation gives 1.88 g cm⁻³. As for the volume: 397.5 Å³ per cell. For the raw total energy, the calculation gives -6.43 eV per atom.